## CsCrCu2F8 (PBE+U)

Data for a relaxed CsCrCu2F8 crystal.

Output
- Spin magnetization: 3.00 μB per cell
- Raw total energy: -168.770 eV per cell

Cell lengths 5.4073, 5.4073, 23.3902 Å; angles 90.00, 90.00, 120.00 degrees
Space group R-3 (No. 148, hexagonal axes)
One atom of each set of equivalent atoms:
1 Cs 0.0000 0.0000 0.0000
2 Cr 0.0000 0.0000 0.5000
3 Cu 0.0000 0.0000 0.2253
4 F 0.0000 0.0000 0.3030
5 F 0.0188 0.7103 0.5460